No. 1
## Zr2SiIr (PBEsol)

Data for a geometry-optimized Zr2SiIr structure.

Cell and atoms, written as POSCAR:
```
Zr2SiIr
1.0
3.045 0.000 0.000
0.000 4.846 -0.012
0.000 -1.431 4.630
Ir Si Zr
1 1 2
direct
0.500 0.000 0.000 Ir
0.500 0.500 0.500 Si
0.000 0.500 0.000 Zr
0.000 0.000 0.500 Zr
```

Summary:
As for the symmetry: Cmmm, No. 65. The density is 9.8 g cm⁻³.



No. 2
## MgTeI2F (PBEsol)

Data for a geometry-optimized MgTeI2F structure.

Cell and atoms, written as POSCAR:
```
MgTeI2F
1.0
-2.543 -1.586 4.535
4.751 -1.596 2.106
0.721 4.974 2.143
I Mg Te F
2 1 1 1
direct
0.000 0.500 0.000 I
0.500 0.000 0.000 I
0.000 0.000 0.000 Mg
0.000 0.000 0.500 Te
0.500 0.500 0.500 F
```

Summary:
As for the symmetry: P4/mmm, No. 123. The density is 4.4 g cm⁻³.



What did we get for formation energy without anion corrections? Answer: -705; -116 meV/atom, in the order shown.
What did we get for V? Answer: 17.07; 32.29 Å³ per atom, in the order shown.
What did we get for total moment? Answer: 0.0000; 0.1942 μB/atom, in the order shown.